(1)
{"formula": "Li3CuPd12", "functional": "GGA-PBE", "state": "relaxed", "lattice_angstrom": [[3.900, 0.000, 0.000], [0.000, 3.900, 0.000], [0.000, 0.000, 15.516]], "species": ["Li", "Li", "Li", "Cu", "Pd", "Pd", "Pd", "Pd", "Pd", "Pd", "Pd", "Pd", "Pd", "Pd", "Pd", "Pd"], "frac_coords": [[0.000, 0.000, 0.251], [0.000, 0.000, 0.500], [0.000, 0.000, 0.749], [0.000, 0.000, 0.000], [0.500, 0.500, 0.000], [0.500, 0.500, 0.250], [0.500, 0.500, 0.500], [0.500, 0.500, 0.750], [0.500, 0.000, 0.124], [0.500, 0.000, 0.375], [0.500, 0.000, 0.625], [0.500, 0.000, 0.876], [0.000, 0.500, 0.124], [0.000, 0.500, 0.375], [0.000, 0.500, 0.625], [0.000, 0.500, 0.876]], "sg": "No. 123"}


(2)
{"formula": "LiCu2Pd3", "functional": "GGA-PBE", "state": "relaxed", "lattice_angstrom": [[-1.955, 1.825, 0.328], [-1.186, -1.962, 3.852], [6.258, 4.430, 1.576]], "species": ["Li", "Cu", "Cu", "Pd", "Pd", "Pd"], "frac_coords": [[0.000, 0.000, 0.000], [0.646, 0.646, 0.293], [0.354, 0.354, 0.707], [0.000, 0.500, 0.000], [0.817, 0.817, 0.634], [0.183, 0.183, 0.366]], "de_polymorph_ev_per_atom": 0.230, "sg": "No. 71"}


(3)
{"formula": "LiCu3Pd2", "functional": "GGA-PBE", "state": "relaxed", "lattice_angstrom": [[-2.804, 2.562, -4.479], [-0.598, -5.558, -1.798], [-4.211, -0.337, 2.443]], "species": ["Li", "Li", "Cu", "Cu", "Cu", "Cu", "Cu", "Cu", "Pd", "Pd", "Pd", "Pd"], "frac_coords": [[0.961, 0.039, 0.250], [0.039, 0.961, 0.750], [0.680, 0.680, 0.500], [0.320, 0.320, 0.000], [0.320, 0.320, 0.500], [0.680, 0.680, 0.000], [0.690, 0.310, 0.250], [0.310, 0.690, 0.750], [0.062, 0.593, 0.250], [0.407, 0.938, 0.250], [0.938, 0.407, 0.750], [0.593, 0.062, 0.750]], "de_polymorph_ev_per_atom": 0.081, "sg": "No. 63"}


(4)
{"formula": "Li4Cu4Pd", "functional": "GGA-PBE", "state": "relaxed", "lattice_angstrom": [[-0.593, -3.349, 1.832], [2.002, -4.383, -3.292], [4.636, -1.230, 3.324]], "species": ["Li", "Li", "Li", "Li", "Cu", "Cu", "Cu", "Cu", "Pd"], "frac_coords": [[0.167, 0.166, 0.000], [0.833, 0.834, 0.000], [0.833, 0.500, 0.334], [0.167, 0.500, 0.666], [0.500, 0.158, 0.343], [0.500, 0.842, 0.657], [0.157, 0.843, 0.342], [0.843, 0.157, 0.658], [0.500, 0.500, 0.000]], "de_polymorph_ev_per_atom": 0.000, "sg": "No. 139"}


Number 1: N(E_F) 18.3 states/eV/cell, E_form -0.206 eV per atom. Number 2: N(E_F) 3.6 states/eV/cell, E_form 0.003 eV per atom. Number 3: N(E_F) 5.2 states/eV/cell, E_form -0.101 eV per atom. Number 4: N(E_F) 2.9 states/eV/cell, E_form -0.158 eV per atom.